VASP calculation (PBEsol) on a relaxed MnPtBr2 crystal.

Summary:
Its electronic total energy is -19.2 eV per cell. For the energy relative to the elements, uncorrected, the calculation gives 1.24 eV per formula unit.

Lattice parameters (Å, degrees): 4.580 4.627 5.175 115.90 115.60 91.33
Site moments in Bohr magnetons follow the coordinates.
Fractional positions:
Br 0.000 0.000 0.500  0.06
Br 0.500 0.500 0.500  0.06
Mn 0.000 0.500 0.000  4.23
Pt 0.500 0.000 0.000  0.10

---

VASP calculation (PBEsol) on a relaxed MnPtBr2 crystal.

Summary:
Its electronic total energy is -18.7 eV per cell. For the energy relative to the elements, uncorrected, the calculation gives 1.79 eV per formula unit.

Lattice parameters (Å, degrees): 3.193 3.376 8.257 90.00 90.00 118.23
Site moments in Bohr magnetons follow the coordinates.
Fractional positions:
Br 0.000 0.000 0.732  0.04
Br 0.000 0.000 0.268  0.04
Mn 0.500 0.000 0.500  3.78
Pt 0.500 0.000 0.000  -0.06

---

What did the first record say?
VASP calculation (PBEsol) on a relaxed MnPtBr2 crystal.

Summary:
Its electronic total energy is -19.2 eV per cell. For the energy relative to the elements, uncorrected, the calculation gives 1.24 eV per formula unit.

Lattice parameters (Å, degrees): 4.580 4.627 5.175 115.90 115.60 91.33
Site moments in Bohr magnetons follow the coordinates.
Fractional positions:
Br 0.000 0.000 0.500  0.06
Br 0.500 0.500 0.500  0.06
Mn 0.000 0.500 0.000  4.23
Pt 0.500 0.000 0.000  0.10